# 1
The following is a DFT calculation (PBE) of crystalline Ag2SnMoBr at its relaxed geometry.

Results
Total magnetization: 3.01 μB per cell
Formation energy from raw total energies: 1.109 eV/atom
Calculated density: 6.48 g cm⁻³

Lattice parameters (Å, degrees): 5.0943 5.0943 5.0403 90.00 90.00 90.00
With the nearest neighbours (Å) after each atom.
Positions (direct):
Ag1 0.0000 0.5000 0.0000  2 Br 2.55
Ag2 0.5000 0.0000 0.0000  2 Br 2.55
Sn1 0.0000 0.0000 0.5000  8 Ag 3.58, 4 Mo 3.60
Mo1 0.5000 0.5000 0.5000  2 Br 2.52
Br1 0.5000 0.5000 0.0000  2 Mo 2.52, 4 Ag 2.55

# 2
The following is a DFT calculation (PBE) of crystalline SrAgMo2Br at its relaxed geometry.

Results
Total magnetization: 2.00 μB per cell
Formation energy from raw total energies: 1.220 eV/atom
Calculated density: 6.43 g cm⁻³

Lattice parameters (Å, degrees): 4.7628 4.7628 5.3165 90.00 90.00 90.00
With the nearest neighbours (Å) after each atom.
Positions (direct):
Sr1 0.0000 0.0000 0.0000  4 Ag 3.37, 8 Mo 3.57
Ag1 0.5000 0.5000 0.0000  2 Br 2.66
Mo1 0.0000 0.5000 0.5000  2 Br 2.38
Mo2 0.5000 0.0000 0.5000  2 Br 2.38
Br1 0.5000 0.5000 0.5000  4 Mo 2.38, 2 Ag 2.66

# 3
The following is a DFT calculation (PBE) of crystalline AgBr3N at its relaxed geometry.

Results
Total magnetization: 1.99 μB per cell
Formation energy from raw total energies: 0.443 eV/atom
Calculated density: 3.61 g cm⁻³
Offset from the most stable computed form: 0 meV/atom

Lattice parameters (Å, degrees): 4.5739 7.5377 10.0358 85.14 77.29 80.54
With the nearest neighbours (Å) after each atom.
Positions (direct):
Ag1 0.1803 0.1375 0.0277  4 Br 2.71-2.82, 1 Ag 3.01
Ag2 0.8197 0.8625 0.9723  4 Br 2.71-2.82, 1 Ag 3.01
Br1 0.0062 0.6432 0.7452  1 N 1.91
Br2 0.2757 0.7695 0.4460  1 N 1.86
Br3 0.2804 0.7745 0.1105  3 Ag 2.71-2.79
Br4 0.7196 0.2255 0.8895  3 Ag 2.71-2.79
Br5 0.7243 0.2305 0.5540  1 N 1.86
Br6 0.9938 0.3568 0.2547  1 N 1.91
N1 0.2666 0.7927 0.6303  2 Br 1.86-1.91
N2 0.7334 0.2073 0.3697  2 Br 1.86-1.91

# 4
The following is a DFT calculation (PBE) of crystalline AgBr3N at its relaxed geometry.

Results
Total magnetization: 0.00 μB per cell
Formation energy from raw total energies: 0.877 eV/atom
Calculated density: 5.61 g cm⁻³
Offset from the most stable computed form: 433 meV/atom

Lattice parameters (Å, degrees): 4.7491 4.7491 4.7491 90.00 90.00 90.00
With the nearest neighbours (Å) after each atom.
Positions (direct):
Ag1 0.0000 0.0000 0.0000  12 Br 3.36
Br1 0.0000 0.5000 0.5000  2 N 2.37
Br2 0.5000 0.0000 0.5000  2 N 2.37
Br3 0.5000 0.5000 0.0000  2 N 2.37
N1 0.5000 0.5000 0.5000  6 Br 2.37

Q: Which formula does entry 2 have?
A: SrAgMo2Br

Q: Look up the total magnetization of the third one.
A: 1.99 μB per cell

Q: What is the calculated density in the second record?
A: 6.43 g cm⁻³

Q: What is the formula in the second record?
A: SrAgMo2Br